Sc5NiPt2: relaxed, PBE.

a = 5.474 Å, b = 7.970 Å, c = 7.970 Å
α = 83.23°, β = 69.91°, γ = 69.91°
Fractional coordinates of all 16 atoms:
Sc  0.419  0.873  0.288
Sc  0.708  0.712  0.873
Sc  0.292  0.288  0.127
Sc  0.581  0.127  0.712
Sc  0.208  0.873  0.712
Sc  0.792  0.127  0.288
Sc  0.081  0.712  0.127
Sc  0.919  0.288  0.873
Sc  0.250  0.500  0.500
Sc  0.750  0.500  0.500
Ni  0.250  0.000  0.000
Ni  0.750  0.000  0.000
Pt  0.340  0.500  0.821
Pt  0.160  0.179  0.500
Pt  0.840  0.821  0.500
Pt  0.660  0.500  0.179

Calculated values
Symmetry: I4/mcm, No. 140
Final energy: -6.984 eV/atom

***

Sc4NiPt5: relaxed, PBE.

a = 4.358 Å, b = 5.317 Å, c = 8.050 Å
α = 100.38°, β = 105.70°, γ = 90.00°
Fractional coordinates of all 10 atoms:
Sc  0.670  0.316  0.340
Sc  0.113  0.774  0.226
Sc  0.330  0.684  0.660
Sc  0.887  0.226  0.774
Ni  0.500  0.000  0.000
Pt  0.267  0.170  0.533
Pt  0.062  0.244  0.124
Pt  0.938  0.756  0.876
Pt  0.500  0.500  0.000
Pt  0.733  0.830  0.467

Calculated values
Symmetry: C2/m, No. 12
Final energy: -7.218 eV/atom

***

Sc2NiPt: relaxed, PBE.

a = 4.612 Å, b = 3.214 Å, c = 4.613 Å
α = 89.98°, β = 90.00°, γ = 90.00°
Fractional coordinates of all 4 atoms:
Sc  0.000  0.125  0.875
Sc  0.500  0.125  0.375
Ni  0.000  0.625  0.375
Pt  0.500  0.625  0.875

Calculated values
Symmetry: P4/mmm, No. 123
Final energy: -7.003 eV/atom

***

Sc8Ni2Pt: relaxed, PBE.

a = 4.983 Å, b = 7.242 Å, c = 7.242 Å
α = 114.91°, β = 99.13°, γ = 99.13°
Fractional coordinates of all 11 atoms:
Sc  0.591  0.331  0.081
Sc  0.591  0.081  0.331
Sc  0.184  0.373  0.373
Sc  0.000  0.229  0.778
Sc  0.000  0.778  0.229
Sc  0.816  0.633  0.633
Sc  0.409  0.925  0.675
Sc  0.409  0.675  0.925
Ni  0.500  0.698  0.308
Ni  0.500  0.308  0.698
Pt  0.999  0.003  0.003

Calculated values
Symmetry: C2/m, No. 12
Final energy: -6.555 eV/atom

***

ScNi2Pt5: relaxed, PBE.

a = 3.899 Å, b = 5.502 Å, c = 11.156 Å
α = 90.00°, β = 90.00°, γ = 90.00°
Fractional coordinates of all 16 atoms:
Sc  0.000  0.000  0.500
Sc  0.000  0.500  0.000
Ni  0.500  0.261  0.370
Ni  0.500  0.739  0.630
Ni  0.500  0.239  0.870
Ni  0.500  0.761  0.130
Pt  0.500  0.251  0.122
Pt  0.500  0.749  0.878
Pt  0.500  0.751  0.378
Pt  0.500  0.249  0.622
Pt  0.000  0.996  0.744
Pt  0.000  0.004  0.256
Pt  0.000  0.496  0.756
Pt  0.000  0.504  0.244
Pt  0.000  0.500  0.500
Pt  0.000  0.000  0.000

Calculated values
Symmetry: Pbam, No. 55
Final energy: -6.472 eV/atom

***

Sc2NiPt: relaxed, PBE.

a = 7.107 Å, b = 7.107 Å, c = 5.777 Å
α = 52.04°, β = 52.04°, γ = 90.00°
Fractional coordinates of all 8 atoms:
Sc  0.612  0.125  0.250
Sc  0.138  0.625  0.250
Sc  0.375  0.388  0.750
Sc  0.875  0.862  0.750
Ni  0.500  0.500  0.000
Ni  0.250  0.750  0.500
Pt  0.000  0.000  0.000
Pt  0.750  0.250  0.500

Calculated values
Symmetry: I-42d, No. 122
Final energy: -6.570 eV/atom

***

Going through the records in order, we get DOS(E_F) values of 20.47 5.40 2.74 14.78 18.37 6.04 states/eV/cell.
Going through the records in order, we get formation energy from the elements values of -0.794 -1.087 -0.881 -0.350 -0.460 -0.449 eV/atom.